No. 1
VASP calculation (PBE-GGA) on a relaxed Cd2CoAg crystal.

Cell lengths 4.029, 4.029, 19.249 Å; angles 90.00, 90.00, 90.00 degrees
Atoms (fractional coordinates):
Cd (0.241, 0.250, 0.125)
Cd (0.250, 0.741, 0.375)
Cd (0.250, 0.759, 0.875)
Cd (0.259, 0.250, 0.625)
Cd (0.741, 0.750, 0.625)
Cd (0.750, 0.241, 0.875)
Cd (0.750, 0.259, 0.375)
Cd (0.759, 0.750, 0.125)
Co (0.000, 0.000, 0.000)
Co (0.000, 0.500, 0.250)
Co (0.500, 0.000, 0.750)
Co (0.500, 0.500, 0.500)
Ag (0.000, 0.000, 0.500)
Ag (0.000, 0.500, 0.750)
Ag (0.500, 0.000, 0.250)
Ag (0.500, 0.500, 0.000)

ΔE_f in meV per atom: 499
DOS at the Fermi energy in states/eV per cell: 10.51
Spin magnetization in Bohr magnetons per cell: 5.0
Final energy in eV per atom: -2.447


No. 2
VASP calculation (PBE-GGA) on a relaxed Na3Nd2TmTe6 crystal.

Cell lengths 7.789, 7.789, 8.002 Å; angles 99.36, 99.36, 120.02 degrees
Atoms (fractional coordinates):
Na (0.000, 0.000, 0.000)
Na (0.330, 0.670, 0.000)
Na (0.670, 0.330, 0.000)
Nd (0.166, 0.834, 0.500)
Nd (0.834, 0.166, 0.500)
Tm (0.500, 0.500, 0.500)
Te (0.098, 0.422, 0.264)
Te (0.256, 0.256, 0.736)
Te (0.422, 0.098, 0.264)
Te (0.578, 0.902, 0.736)
Te (0.744, 0.744, 0.264)
Te (0.902, 0.578, 0.736)

Spin magnetization in Bohr magnetons per cell: 0.0
Final energy in eV per atom: -4.382


No. 3
VASP calculation (PBE-GGA) on a relaxed CaNdMg2 crystal.

Cell lengths 5.549, 5.549, 3.925 Å; angles 90.00, 90.00, 90.00 degrees
Atoms (fractional coordinates):
Ca (0.000, 0.000, 0.000)
Nd (0.500, 0.500, 0.000)
Mg (0.000, 0.500, 0.500)
Mg (0.500, 0.000, 0.500)

ΔE_f in meV per atom: -98
DOS at the Fermi energy in states/eV per cell: 3.08
Spin magnetization in Bohr magnetons per cell: 0.0
Final energy in eV per atom: -2.588